Material: Tb2SmErTe5
Method: DFT, PBE
State: optimized geometry

Computed properties:
calculated volume: 367.93 Å³/cell
total moment: 0.6 μB per formula unit
E_form (uncorrected): -0.602 eV per atom
space group: P4/mmm

CIF file:
```
data_Tb2SmErTe5
_cell_length_a 5.641
_cell_length_b 5.641
_cell_length_c 11.563
_cell_angle_alpha 90.00
_cell_angle_beta 90.00
_cell_angle_gamma 90.00
_symmetry_space_group_name_H-M 'P 1'
_symmetry_Int_Tables_number 1
loop_
_symmetry_equiv_pos_as_xyz
'x,y,z'
loop_
_atom_site_label
_atom_site_fract_x
_atom_site_fract_y
_atom_site_fract_z
Te1 0.000 0.500 0.500
Tb1 0.500 0.500 0.649
Sm1 0.000 0.000 0.500
Te2 0.500 0.000 0.500
Te3 0.000 0.000 0.243
Te4 0.500 0.500 0.000
Te5 0.000 0.000 0.757
Tb2 0.500 0.500 0.351
Er1 0.000 0.000 0.000
```



Material: CaOsF2
Method: DFT, PBE
State: optimized geometry

Computed properties:
calculated volume: 63.05 Å³/cell
total moment: 3.6 μB per formula unit
E_form (uncorrected): -0.647 eV per atom
space group: Fm-3m
distance to the lowest polymorph of the same formula: 817 meV/atom

CIF file:
```
data_CaOsF2
_cell_length_a 4.468
_cell_length_b 4.468
_cell_length_c 4.468
_cell_angle_alpha 60.00
_cell_angle_beta 60.00
_cell_angle_gamma 60.00
_symmetry_space_group_name_H-M 'P 1'
_symmetry_Int_Tables_number 1
loop_
_symmetry_equiv_pos_as_xyz
'x,y,z'
loop_
_atom_site_label
_atom_site_fract_x
_atom_site_fract_y
_atom_site_fract_z
Ca1 0.000 0.000 0.000
Os1 0.500 0.500 0.500
F1 0.250 0.250 0.250
F2 0.750 0.750 0.750
```



Material: Cs2SmHg2S4
Method: DFT, PBE
State: optimized geometry

Computed properties:
calculated volume: 273.81 Å³/cell
total moment: 0.0 μB per formula unit
E_form (uncorrected): -0.992 eV per atom
space group: C2/m

CIF file:
```
data_Cs2SmHg2S4
_cell_length_a 4.148
_cell_length_b 8.607
_cell_length_c 8.545
_cell_angle_alpha 111.58
_cell_angle_beta 104.05
_cell_angle_gamma 90.00
_symmetry_space_group_name_H-M 'P 1'
_symmetry_Int_Tables_number 1
loop_
_symmetry_equiv_pos_as_xyz
'x,y,z'
loop_
_atom_site_label
_atom_site_fract_x
_atom_site_fract_y
_atom_site_fract_z
Sm1 0.000 0.000 0.000
Cs1 0.127 0.562 0.255
Hg1 0.312 0.979 0.624
Hg2 0.688 0.021 0.376
S1 0.527 0.796 0.053
Cs2 0.873 0.438 0.745
S2 0.473 0.204 0.947
S3 0.819 0.789 0.637
S4 0.181 0.211 0.363
```



Taking the records one at a time from the top gives total DFT energy (no corrections) values of -4.407; -4.890; -3.607 eV/atom.